1.
# PBE BaCO3, optimized geometry
# Total magnetic moment = 0.00 μB/atom
# ΔE_f (raw) = 37.3 kcal/mol of atoms
data_BaCO3
_cell_length_a 4.505
_cell_length_b 4.505
_cell_length_c 4.505
_cell_angle_alpha 90.00
_cell_angle_beta 90.00
_cell_angle_gamma 90.00
_symmetry_space_group_name_H-M 'P m -3 m'
_symmetry_Int_Tables_number 221
_symmetry_space_group_name_Hall '-P 4 2 3'
loop_
_atom_site_label
_atom_site_type_symbol
_atom_site_fract_x
_atom_site_fract_y
_atom_site_fract_z
_atom_site_occupancy
Ba1 Ba 0.000 0.000 0.000 1
C1 C 0.500 0.500 0.500 1
O1 O 0.000 0.000 0.500 1

***

2.
# PBE BaP2CO, optimized geometry
# Total magnetic moment = 0.90 μB/atom
# Offset from the most stable computed form = 2135 meV/atom
# ΔE_f (raw) = 52.4 kcal/mol of atoms
data_BaP2CO
_cell_length_a 6.221
_cell_length_b 6.221
_cell_length_c 4.504
_cell_angle_alpha 90.00
_cell_angle_beta 90.00
_cell_angle_gamma 90.00
_symmetry_space_group_name_H-M 'P 4/m m m'
_symmetry_Int_Tables_number 123
_symmetry_space_group_name_Hall '-P 4 2'
loop_
_atom_site_label
_atom_site_type_symbol
_atom_site_fract_x
_atom_site_fract_y
_atom_site_fract_z
_atom_site_occupancy
Ba1 Ba 0.000 0.000 0.000 1
P1 P 0.000 0.500 0.000 1
C1 C 0.500 0.500 0.500 1
O1 O 0.000 0.000 0.500 1

***

3.
# PBE BaP2CO, optimized geometry
# Total magnetic moment = 0.09 μB/atom
# Offset from the most stable computed form = 0 meV/atom
# ΔE_f (raw) = 3.2 kcal/mol of atoms
data_BaP2CO
_cell_length_a 3.803
_cell_length_b 3.803
_cell_length_c 7.027
_cell_angle_alpha 90.00
_cell_angle_beta 90.00
_cell_angle_gamma 90.00
_symmetry_space_group_name_H-M 'P 4/m m m'
_symmetry_Int_Tables_number 123
_symmetry_space_group_name_Hall '-P 4 2'
loop_
_atom_site_label
_atom_site_type_symbol
_atom_site_fract_x
_atom_site_fract_y
_atom_site_fract_z
_atom_site_occupancy
Ba1 Ba 0.000 0.000 0.000 1
P1 P 0.000 0.500 0.500 1
C1 C 0.500 0.500 0.500 1
O1 O 0.500 0.500 0.000 1

***

Number 1: final energy -3.59 eV per atom. Number 2: final energy -3.11 eV per atom. Number 3: final energy -5.25 eV per atom.